No. 1
VASP calculation (GGA-PBE) on a relaxed structure of CeDy3Er2.

Calculated values
D(E_F): 1.7345 states/eV per atom
Total energy: -4.757 eV per atom
Symmetry: Cmmm (65)
Energy relative to the lowest polymorph listed for this composition: 0 meV per atom
Formation energy: 0.33 eV per formula unit
Theoretical density: 8.58 g/cm3

Lattice parameters (Å, degrees): 4.9978 9.9759 9.3252 122.34 105.54 90.00
Site moments in Bohr magnetons follow the coordinates.
Fractional coordinates of all 12 atoms:
Dy  0.5000  0.2500  0.0000  0.09
Dy  0.8354  0.0854  0.6708  0.02
Dy  0.1646  0.4146  0.3292  0.02
Dy  0.1646  0.9146  0.3292  0.02
Dy  0.8354  0.5854  0.6708  0.02
Dy  0.5000  0.7500  0.0000  0.09
Er  0.3329  0.3330  0.6659  0.01
Er  0.3331  0.8330  0.6659  0.01
Er  0.6669  0.1670  0.3341  0.01
Er  0.6671  0.6670  0.3341  0.01
Ce  0.0000  0.0000  0.0000  0.75
Ce  0.0000  0.5000  0.0000  0.75



No. 2
VASP calculation (GGA-PBE) on a relaxed structure of In2SbIr.

Calculated values
D(E_F): 0.0000 states/eV per atom
Total energy: -4.176 eV per atom
Symmetry: I-42d (122)
Theoretical density: 7.07 g/cm3
ΔE_f (raw): 439 meV/atom

Lattice parameters (Å, degrees): 6.3255 6.3255 7.7911 66.05 66.05 90.00
Fractional coordinates of all 8 atoms:
Sb  0.2500  0.7500  0.5000
Sb  0.5000  0.5000  0.0000
In  0.0881  0.6250  0.2500
In  0.6619  0.1250  0.2500
In  0.8750  0.9119  0.7500
In  0.3750  0.3381  0.7500
Ir  0.0000  0.0000  0.0000
Ir  0.7500  0.2500  0.5000



No. 3
VASP calculation (GGA-PBE) on a relaxed structure of CaLaY.

Calculated values
D(E_F): 1.9624 states/eV per atom
Total energy: -3.746 eV per atom
Symmetry: F-43m (216)
Energy relative to the lowest polymorph listed for this composition: 680 meV per atom
Formation energy: 2.15 eV per formula unit
Theoretical density: 3.42 g/cm3

Lattice parameters (Å, degrees): 5.6885 5.6885 5.6885 60.00 60.00 60.00
Fractional coordinates of all 3 atoms:
Ca  0.0000  0.0000  0.0000
Y  0.7500  0.7500  0.7500
La  0.5000  0.5000  0.5000



No. 4
VASP calculation (GGA-PBE) on a relaxed structure of LiB2C2.

Calculated values
D(E_F): 0.1757 states/eV per atom
Total energy: -6.767 eV per atom
Symmetry: Pm (6)
Energy relative to the lowest polymorph listed for this composition: 46 meV per atom
Formation energy: -0.12 eV per formula unit
Theoretical density: 1.87 g/cm3

Lattice parameters (Å, degrees): 8.8076 8.6969 2.7259 90.00 90.00 116.72
Fractional coordinates of all 20 atoms:
C  0.2987  0.5132  0.5000
C  0.5130  0.7931  0.0000
C  0.9828  0.7094  0.0000
C  0.0320  0.2918  0.0000
C  0.4745  0.2067  0.0000
C  0.7785  0.0390  0.5000
C  0.7279  0.4560  0.5000
C  0.1998  0.9909  0.5000
B  0.8087  0.5452  0.0000
B  0.5546  0.2864  0.5000
B  0.9496  0.2127  0.5000
B  0.4403  0.7063  0.5000
B  0.2811  0.0690  0.0000
B  0.2240  0.4350  0.0000
B  0.6922  0.9532  0.0000
B  0.0603  0.7994  0.5000
Li  0.7514  0.2478  0.0000
Li  0.0347  0.5207  0.5000
Li  0.9857  0.9937  0.0000
Li  0.4600  0.9802  0.5000



No. 5
VASP calculation (GGA-PBE) on a relaxed structure of Tm2PuUAs4.

Calculated values
D(E_F): 2.4328 states/eV per atom
Total energy: -7.817 eV per atom
Symmetry: P2/m (10)
Formation energy: -9.37 eV per formula unit
Theoretical density: 9.66 g/cm3

Lattice parameters (Å, degrees): 4.0721 7.1002 7.0545 109.40 90.00 90.00
Site moments in Bohr magnetons follow the coordinates.
Fractional coordinates of all 8 atoms:
Pu  0.0000  0.0000  0.0000  5.11
U  0.5000  0.5000  0.0000  -1.96
As  0.5000  0.7461  0.7486  -0.03
As  0.0000  0.7476  0.2521  0.02
As  0.0000  0.2524  0.7479  0.02
As  0.5000  0.2539  0.2514  -0.03
Tm  0.0000  0.5000  0.5000  -0.01
Tm  0.5000  0.0000  0.5000  0.02



No. 6
VASP calculation (GGA-PBE) on a relaxed structure of LaPmTlI.

Calculated values
D(E_F): 0.5733 states/eV per atom
Total energy: -4.046 eV per atom
Symmetry: R3m (160)
Energy relative to the lowest polymorph listed for this composition: 0 meV per atom
Theoretical density: 7.43 g/cm3
ΔE_f (raw): -647 meV/atom

Lattice parameters (Å, degrees): 4.6334 4.6334 7.8599 72.86 72.86 60.00
Fractional coordinates of all 4 atoms:
Pm  0.4370  0.4370  0.6891
Tl  0.6964  0.6964  0.9107
I  0.1920  0.1920  0.4240
La  0.9510  0.9510  0.1470



No. 7
VASP calculation (GGA-PBE) on a relaxed structure of K2CuP.

Calculated values
D(E_F): 0.6392 states/eV per atom
Total energy: -2.807 eV per atom
Symmetry: P4mm (99)
Formation energy: 0.47 eV per formula unit
Theoretical density: 2.40 g/cm3

Lattice parameters (Å, degrees): 3.4971 3.4971 9.7631 90.00 90.00 90.00
Fractional coordinates of all 4 atoms:
Cu  0.5000  0.5000  0.6410
P  0.0000  0.0000  0.6009
K  0.0000  0.0000  0.9182
K  0.5000  0.5000  0.3398



No. 8
VASP calculation (GGA-PBE) on a relaxed structure of Sc3BiB.

Calculated values
D(E_F): 0.2737 states/eV per atom
Total energy: -6.202 eV per atom
Symmetry: R-3 (148)
Energy relative to the lowest polymorph listed for this composition: 275 meV per atom
Formation energy: -1.46 eV per formula unit
Theoretical density: 5.00 g/cm3

Lattice parameters (Å, degrees): 8.1072 8.1072 8.1072 44.24 44.24 44.24
Fractional coordinates of all 10 atoms:
B  0.8394  0.8394  0.8394
B  0.1606  0.1606  0.1606
Sc  0.2267  0.5433  0.9016
Sc  0.9016  0.2267  0.5433
Sc  0.7733  0.4567  0.0984
Sc  0.0984  0.7733  0.4567
Sc  0.4567  0.0984  0.7733
Sc  0.5433  0.9016  0.2267
Bi  0.6637  0.6637  0.6637
Bi  0.3363  0.3363  0.3363



No. 9
VASP calculation (GGA-PBE) on a relaxed structure of YThTl.

Calculated values
D(E_F): 1.6462 states/eV per atom
Total energy: -5.308 eV per atom
Symmetry: P4/nmm (129)
Energy relative to the lowest polymorph listed for this composition: 281 meV per atom
Formation energy: 0.33 eV per formula unit
Theoretical density: 8.63 g/cm3

Lattice parameters (Å, degrees): 5.1685 5.1685 7.5675 90.00 90.00 90.00
Fractional coordinates of all 6 atoms:
Tl  0.0000  0.5000  0.2313
Tl  0.5000  0.0000  0.7687
Y  0.5000  0.5000  0.0000
Y  0.0000  0.0000  0.0000
Th  0.5000  0.5000  0.5000
Th  0.0000  0.0000  0.5000



No. 10
VASP calculation (GGA-PBE) on a relaxed structure of ScC3.

Calculated values
D(E_F): 0.3234 states/eV per atom
Total energy: -7.568 eV per atom
Symmetry: Pmmm (47)
Energy relative to the lowest polymorph listed for this composition: 684 meV per atom
Formation energy: 3.73 eV per formula unit
Theoretical density: 3.76 g/cm3

Lattice parameters (Å, degrees): 2.7373 3.5662 3.6610 90.00 90.00 90.00
Fractional coordinates of all 4 atoms:
C  0.0000  0.7500  0.0592
C  0.5000  0.7500  0.7500
C  0.0000  0.7500  0.4408
Sc  0.5000  0.2500  0.2500



No. 11
VASP calculation (GGA-PBE) on a relaxed structure of TeIr2Rh.

Calculated values
D(E_F): 1.3505 states/eV per atom
Total energy: -6.372 eV per atom
Symmetry: Cmmm (65)
Theoretical density: 15.06 g/cm3
ΔE_f (raw): 682 meV/atom

Lattice parameters (Å, degrees): 2.8790 2.8790 9.5172 90.00 90.00 120.73
Fractional coordinates of all 4 atoms:
Rh  0.5000  0.5000  0.5000
Ir  0.0000  0.0000  0.2636
Ir  0.0000  0.0000  0.7364
Te  0.5000  0.5000  0.0000



No. 12
VASP calculation (GGA-PBE) on a relaxed structure of V3IrRh6.

Calculated values
D(E_F): 0.9195 states/eV per atom
Total energy: -8.191 eV per atom
Symmetry: Cmc2_1 (36)
Energy relative to the lowest polymorph listed for this composition: 188 meV per atom
Formation energy: -1.59 eV per formula unit
Theoretical density: 11.01 g/cm3

Lattice parameters (Å, degrees): 4.7302 8.5223 8.5223 122.30 90.00 90.00
Fractional coordinates of all 20 atoms:
V  0.9286  0.0631  0.2715
V  0.4286  0.9369  0.7285
V  0.4286  0.2715  0.0631
V  0.6367  0.6099  0.3901
V  0.9286  0.7285  0.9369
V  0.1367  0.3901  0.6099
Ir  0.6816  0.7856  0.2144
Ir  0.1816  0.2144  0.7856
Rh  0.9140  0.0513  0.9487
Rh  0.4140  0.9487  0.0513
Rh  0.8239  0.4350  0.0423
Rh  0.0307  0.3688  0.2967
Rh  0.3239  0.5650  0.9577
Rh  0.0307  0.7033  0.6312
Rh  0.8239  0.9577  0.5650
Rh  0.5307  0.2967  0.3688
Rh  0.6867  0.3122  0.6878
Rh  0.1867  0.6878  0.3122
Rh  0.3239  0.0423  0.4350
Rh  0.5307  0.6312  0.7033



No. 13
VASP calculation (GGA-PBE) on a relaxed structure of LaNd2Si.

Calculated values
D(E_F): 1.0220 states/eV per atom
Total energy: -5.236 eV per atom
Symmetry: P4/mmm (123)
Energy relative to the lowest polymorph listed for this composition: 100 meV per atom
Theoretical density: 6.81 g/cm3
ΔE_f (raw): -264 meV/atom

Lattice parameters (Å, degrees): 4.7308 4.8461 4.8461 90.00 90.00 90.00
Fractional coordinates of all 4 atoms:
Si  0.5000  0.5000  0.5000
Nd  0.0000  0.0000  0.5000
Nd  0.0000  0.5000  0.0000
La  0.5000  0.0000  0.0000



No. 14
VASP calculation (GGA-PBE) on a relaxed structure of PrGa3PdRh.

Calculated values
D(E_F): 0.5210 states/eV per atom
Total energy: -4.900 eV per atom
Symmetry: Cmcm (63)
Formation energy: -3.00 eV per formula unit
Theoretical density: 7.21 g/cm3

Lattice parameters (Å, degrees): 5.9826 7.7671 6.7714 125.00 90.00 90.00
Fractional coordinates of all 12 atoms:
Ga  0.0000  0.7520  0.0000
Ga  0.0000  0.2480  0.0000
Ga  0.5000  0.2480  0.0000
Ga  0.7500  0.7563  0.5125
Ga  0.2500  0.2437  0.4875
Ga  0.5000  0.7520  0.0000
Rh  0.7500  0.9676  0.9353
Rh  0.2500  0.0324  0.0647
Pd  0.7500  0.5410  0.0820
Pd  0.2500  0.4590  0.9180
Pr  0.2500  0.7498  0.4995
Pr  0.7500  0.2502  0.5005



No. 15
VASP calculation (GGA-PBE) on a relaxed structure of Er3TmCu4.

Calculated values
D(E_F): 0.5520 states/eV per atom
Total energy: -4.600 eV per atom
Symmetry: Pmmm (47)
Formation energy: -2.26 eV per formula unit
Theoretical density: 9.51 g/cm3

Lattice parameters (Å, degrees): 3.4181 4.8606 9.7219 90.00 90.00 90.00
Fractional coordinates of all 8 atoms:
Tm  0.5000  0.5000  0.0000
Er  0.5000  0.0000  0.7504
Er  0.5000  0.0000  0.2496
Er  0.5000  0.5000  0.5000
Cu  0.0000  0.5000  0.7509
Cu  0.0000  0.0000  0.5000
Cu  0.0000  0.5000  0.2491
Cu  0.0000  0.0000  0.0000



No. 16
VASP calculation (GGA-PBE) on a relaxed structure of Co3As2.

Calculated values
D(E_F): 0.7832 states/eV per atom
Total energy: -6.147 eV per atom
Symmetry: Fdd2 (43)
Formation energy: -0.12 eV per formula unit
Theoretical density: 8.38 g/cm3

Lattice parameters (Å, degrees): 7.6348 5.8556 5.8201 81.67 49.37 48.96
Site moments in Bohr magnetons follow the coordinates.
Fractional coordinates of all 10 atoms:
Co  0.8305  0.1695  0.1695  0.36
Co  0.1901  0.7063  0.5883  0.73
Co  0.5437  0.0599  0.7346  0.73
Co  0.6617  0.7346  0.0599  0.73
Co  0.5154  0.5883  0.7063  0.73
Co  0.0805  0.4195  0.4195  0.36
As  0.1372  0.0167  0.2693  -0.02
As  0.5768  0.2693  0.0167  -0.02
As  0.2333  0.1128  0.6732  -0.02
As  0.9807  0.6732  0.1128  -0.02



No. 17
VASP calculation (GGA-PBE) on a relaxed structure of Ca2SnAs3.

Calculated values
D(E_F): 0.7095 states/eV per atom
Total energy: -4.236 eV per atom
Symmetry: Immm (71)
Formation energy: -3.46 eV per formula unit
Theoretical density: 4.54 g/cm3

Lattice parameters (Å, degrees): 3.8784 5.9985 7.5549 113.39 104.87 90.00
Fractional coordinates of all 6 atoms:
Sn  0.0000  0.5000  0.0000
As  0.0000  0.0000  0.0000
As  0.3492  0.3492  0.6983
As  0.6508  0.6508  0.3017
Ca  0.3312  0.8312  0.6625
Ca  0.6688  0.1688  0.3375



No. 18
VASP calculation (GGA-PBE) on a relaxed structure of Pa5Rh.

Calculated values
D(E_F): 1.7204 states/eV per atom
Total energy: -9.317 eV per atom
Symmetry: C2/m (12)
Energy relative to the lowest polymorph listed for this composition: 0 meV per atom
Formation energy: -1.07 eV per formula unit
Theoretical density: 14.85 g/cm3

Lattice parameters (Å, degrees): 3.3467 5.6665 8.5231 66.11 78.68 72.82
Fractional coordinates of all 6 atoms:
Pa  0.3152  0.0570  0.3126
Pa  0.6498  0.5497  0.1506
Pa  0.3502  0.4503  0.8494
Pa  0.0000  0.5000  0.5000
Pa  0.6848  0.9430  0.6874
Rh  0.0000  0.0000  0.0000



No. 19
VASP calculation (GGA-PBE) on a relaxed structure of PaSb3.

Calculated values
D(E_F): 1.0012 states/eV per atom
Total energy: -5.733 eV per atom
Symmetry: Pmmm (47)
Energy relative to the lowest polymorph listed for this composition: 73 meV per atom
Theoretical density: 9.57 g/cm3
ΔE_f (raw): -267 meV/atom

Lattice parameters (Å, degrees): 4.4997 4.7636 4.8247 90.00 90.00 90.00
Fractional coordinates of all 4 atoms:
Sb  0.5000  0.5000  0.9166
Sb  0.0000  0.5000  0.4166
Sb  0.5000  0.0000  0.4166
Pa  0.0000  0.0000  0.9167



No. 20
VASP calculation (GGA-PBE) on a relaxed structure of Cs2YHoS4.

Calculated values
D(E_F): 0.0000 states/eV per atom
Total energy: -5.492 eV per atom
Symmetry: P2/m (10)
Theoretical density: 4.58 g/cm3
ΔE_f (raw): -1835 meV/atom

Lattice parameters (Å, degrees): 4.0999 7.1003 8.4022 106.32 90.00 90.00
Fractional coordinates of all 8 atoms:
S  0.5000  0.7716  0.8184
S  0.5000  0.2284  0.1816
S  0.0000  0.2745  0.8189
S  0.0000  0.7255  0.1811
Ho  0.5000  0.5000  0.0000
Y  0.0000  0.0000  0.0000
Cs  0.5000  0.0000  0.5000
Cs  0.0000  0.5000  0.5000



No. 21
VASP calculation (GGA-PBE) on a relaxed structure of Ac2TmAl.

Calculated values
D(E_F): 1.4494 states/eV per atom
Total energy: -3.834 eV per atom
Symmetry: R-3m (166)
Energy relative to the lowest polymorph listed for this composition: 314 meV per atom
Formation energy: 1.10 eV per formula unit
Theoretical density: 7.39 g/cm3

Lattice parameters (Å, degrees): 3.7162 3.7162 12.3911 81.38 81.38 60.00
Fractional coordinates of all 4 atoms:
Ac  0.9016  0.9016  0.2951
Ac  0.0984  0.0984  0.7049
Tm  0.0000  0.0000  0.0000
Al  0.5000  0.5000  0.5000



No. 22
VASP calculation (GGA-PBE) on a relaxed structure of Li5SnTe6.

Calculated values
D(E_F): 0.4718 states/eV per atom
Total energy: -3.293 eV per atom
Symmetry: C2/m (12)
Theoretical density: 5.07 g/cm3
ΔE_f (raw): -591 meV/atom

Lattice parameters (Å, degrees): 7.8234 7.8689 6.3418 51.65 83.53 79.54
Fractional coordinates of all 12 atoms:
Li  0.0000  0.3385  0.3231
Li  0.5000  0.8389  0.3223
Li  0.0000  0.6615  0.6769
Li  0.5000  0.1611  0.6777
Li  0.5000  0.5000  0.0000
Te  0.7494  0.4313  0.6284
Te  0.2506  0.5687  0.3716
Te  0.7494  0.0596  0.3716
Te  0.2554  0.2613  0.0000
Te  0.2506  0.9404  0.6284
Te  0.7446  0.7387  0.0000
Sn  0.0000  0.0000  0.0000



No. 23
VASP calculation (GGA-PBE) on a relaxed structure of AlCrPd3.

Calculated values
D(E_F): 1.0703 states/eV per atom
Total energy: -4.976 eV per atom
Symmetry: Pm-3m (221)
Energy relative to the lowest polymorph listed for this composition: 537 meV per atom
Formation energy: 4.07 eV per formula unit
Theoretical density: 6.93 g/cm3

Lattice parameters (Å, degrees): 4.5707 4.5707 4.5707 90.00 90.00 90.00
Fractional coordinates of all 5 atoms:
Pd  0.0000  0.5000  0.0000
Pd  0.5000  0.0000  0.0000
Pd  0.0000  0.0000  0.5000
Al  0.5000  0.5000  0.5000
Cr  0.0000  0.0000  0.0000



No. 24
VASP calculation (GGA-PBE) on a relaxed structure of K2Ac2GeO6.

Calculated values
D(E_F): 0.0000 states/eV per atom
Total energy: -6.284 eV per atom
Symmetry: C2/m (12)
Theoretical density: 5.41 g/cm3
ΔE_f (raw): -2213 meV/atom

Lattice parameters (Å, degrees): 6.1579 6.1579 6.6266 96.26 96.26 118.74
Fractional coordinates of all 11 atoms:
O  0.6804  0.9653  0.3345
O  0.3196  0.0347  0.6655
O  0.0347  0.3196  0.6655
O  0.9653  0.6804  0.3345
O  0.7873  0.7873  0.6746
O  0.2127  0.2127  0.3254
Ac  0.3362  0.6638  0.5000
Ac  0.6638  0.3362  0.5000
K  0.8540  0.1460  0.0000
K  0.1460  0.8540  0.0000
Ge  0.0000  0.0000  0.5000